Computed, not measured: crystalline LuCuTcGe at its relaxed geometry at the PBE level of DFT.

Computed properties:
M_tot	0.00	μB/f.u.
V	64.7	Å³/cell
E	-5.84	eV per atom
SG	No. 216

Cell lengths 4.5069, 4.5069, 4.5069 Å; angles 60.00, 60.00, 60.00 degrees
Sites, in units of the cell vectors:
Cu1 0.7500 0.7500 0.7500
Ge1 0.0000 0.0000 0.0000
Lu1 0.5000 0.5000 0.5000
Tc1 0.2500 0.2500 0.2500